(1)
VASP calculation (PBE-GGA) on TiCdBr3 after structural relaxation.

```
data_TiCdBr3
_space_group_name_H-M_alt 'P m -3 m'
_space_group_IT_number 221
_space_group_name_Hall '-P 4 2 3'
_cell_length_a 5.2290
_cell_length_b 5.2290
_cell_length_c 5.2290
_cell_angle_alpha 90.00
_cell_angle_beta 90.00
_cell_angle_gamma 90.00
loop_
_atom_site_label
_atom_site_fract_x
_atom_site_fract_y
_atom_site_fract_z
Ti1 0.0000 0.0000 0.0000
Cd1 0.5000 0.5000 0.5000
Br1 0.0000 0.0000 0.5000
```

Calculated values
Magnetization: 1.05 μB per cell
Relative energy among the computed polymorphs: 0.0000 eV/atom

(2)
VASP calculation (PBE-GGA) on Tb2YPaCo2 after structural relaxation.

```
data_Tb2YPaCo2
_space_group_name_H-M_alt 'I b a m'
_space_group_IT_number 72
_space_group_name_Hall '-I 2 2c'
_cell_length_a 6.8591
_cell_length_b 12.6253
_cell_length_c 6.7353
_cell_angle_alpha 90.00
_cell_angle_beta 90.00
_cell_angle_gamma 90.00
loop_
_atom_site_label
_atom_site_fract_x
_atom_site_fract_y
_atom_site_fract_z
Tb1 0.2016 0.2016 0.0000
Y1 0.0000 0.5000 0.2500
Pa1 0.0000 0.0000 0.2500
Co1 0.2042 0.0892 0.5000
```

Calculated values
Magnetization: 0.00 μB per cell
DFT formation energy: -110.3 kJ/mol of formula units

(3)
VASP calculation (PBE-GGA) on Cs3YNp2O9 after structural relaxation.

```
data_Cs3YNp2O9
_space_group_name_H-M_alt 'P -3 m 1'
_space_group_IT_number 164
_space_group_name_Hall '-P 3 2"'
_cell_length_a 6.2263
_cell_length_b 6.2263
_cell_length_c 7.6251
_cell_angle_alpha 90.00
_cell_angle_beta 90.00
_cell_angle_gamma 120.00
loop_
_atom_site_label
_atom_site_fract_x
_atom_site_fract_y
_atom_site_fract_z
Cs1 0.0000 0.0000 0.0000
Cs2 0.3333 0.6667 0.6635
Y1 0.0000 0.0000 0.5000
Np1 0.3333 0.6667 0.1652
O1 0.0000 0.5000 0.0000
O2 0.1778 0.3556 0.3193
```

Calculated values
Magnetization: 2.00 μB per cell
DFT total energy: -7.91 eV/atom